No. 1
TlCdIn2Hg2 | PBE | relaxed

Structure (POSCAR):
```
TlCdIn2Hg2
1.0
4.685 0.000 0.000
0.000 7.741 0.000
0.000 0.000 9.056
In Tl Hg Cd
4 2 4 2
Direct
0.500 0.047 0.071
0.000 0.874 0.802
0.000 0.374 0.198
0.500 0.547 0.929
0.000 0.465 0.573
0.000 0.965 0.427
0.000 0.272 0.883
0.000 0.772 0.117
0.500 0.244 0.382
0.500 0.744 0.618
0.500 0.644 0.300
0.500 0.144 0.700
```

Properties
* final energy: -1.5430 eV per atom
* space group: Pmc2_1 (26)
* crystal system: orthorhombic



No. 2
NaLuPb | PBE | relaxed

Structure (POSCAR):
```
NaLuPb
1.0
-1.024 -1.832 -2.715
1.109 -2.870 1.518
-6.840 1.415 3.793
Pb Lu Na
1 1 1
Direct
0.946 0.946 0.893
0.298 0.298 0.596
0.605 0.605 0.211
```

Properties
* excess energy over the best structure of this formula in the dataset: 70 meV per atom
* final energy: -3.2313 eV per atom
* space group: I4mm (107)
* crystal system: tetragonal